## i
# PaGeW, relaxed, DFT PBE
data_PaGeW
_chemical_formula_sum 'Pa4 Ge4 W4'
_cell_length_a 6.4205
_cell_length_b 6.4205
_cell_length_c 6.4205
_cell_angle_alpha 90.00
_cell_angle_beta 90.00
_cell_angle_gamma 90.00
_symmetry_space_group_name_H-M 'F -4 3 m'
_symmetry_Int_Tables_number 216
_symmetry_space_group_name_Hall 'F -4 2 3'
loop_
_atom_site_label
_atom_site_fract_x
_atom_site_fract_y
_atom_site_fract_z
_atom_site_occupancy
Pa1 0.0000 0.0000 0.0000 1
Ge1 0.0000 0.0000 0.5000 1
W1 0.2500 0.2500 0.7500 1
# Magnetic moment = 0.02 μB per atom


## ii
# PaGeW, relaxed, DFT PBE
data_PaGeW
_chemical_formula_sum 'Pa4 Ge4 W4'
_cell_length_a 6.5630
_cell_length_b 6.5630
_cell_length_c 6.5630
_cell_angle_alpha 90.00
_cell_angle_beta 90.00
_cell_angle_gamma 90.00
_symmetry_space_group_name_H-M 'F -4 3 m'
_symmetry_Int_Tables_number 216
_symmetry_space_group_name_Hall 'F -4 2 3'
loop_
_atom_site_label
_atom_site_fract_x
_atom_site_fract_y
_atom_site_fract_z
_atom_site_occupancy
Pa1 0.0000 0.0000 0.0000 1
Ge1 0.2500 0.2500 0.7500 1
W1 0.2500 0.2500 0.2500 1
# Magnetic moment = 0.01 μB per atom


It is ii that is the least stable of them.


## i
An optimized crystal structure of ZnGePb. Source: the Open Quantum Materials Database, functional PBE.

Geometry as CIF:
```
data_ZnGePb
_chemical_formula_sum 'Zn4 Ge4 Pb4'
_cell_length_a 6.8432
_cell_length_b 6.8432
_cell_length_c 6.8432
_cell_angle_alpha 90.00
_cell_angle_beta 90.00
_cell_angle_gamma 90.00
_symmetry_space_group_name_H-M 'F -4 3 m'
_symmetry_Int_Tables_number 216
_symmetry_space_group_name_Hall 'F -4 2 3'
loop_
_atom_site_label
_atom_site_fract_x
_atom_site_fract_y
_atom_site_fract_z
_atom_site_occupancy
Zn1 0.0000 0.0000 0.0000 1
Ge1 0.0000 0.0000 0.5000 1
Pb1 0.2500 0.2500 0.7500 1
```


## ii
An optimized crystal structure of ZnGePb. Source: the Open Quantum Materials Database, functional PBE.

Geometry as CIF:
```
data_ZnGePb
_chemical_formula_sum 'Zn4 Ge4 Pb4'
_cell_length_a 6.7162
_cell_length_b 6.7162
_cell_length_c 6.7162
_cell_angle_alpha 90.00
_cell_angle_beta 90.00
_cell_angle_gamma 90.00
_symmetry_space_group_name_H-M 'F -4 3 m'
_symmetry_Int_Tables_number 216
_symmetry_space_group_name_Hall 'F -4 2 3'
loop_
_atom_site_label
_atom_site_fract_x
_atom_site_fract_y
_atom_site_fract_z
_atom_site_occupancy
Zn1 0.0000 0.0000 0.0000 1
Ge1 0.2500 0.2500 0.7500 1
Pb1 0.0000 0.0000 0.5000 1
```


It is i that is the least stable of them.


## i
# ZrGePb, relaxed, DFT PBE
data_ZrGePb
_chemical_formula_sum 'Zr4 Ge4 Pb4'
_cell_length_a 6.8443
_cell_length_b 6.8443
_cell_length_c 6.8443
_cell_angle_alpha 90.00
_cell_angle_beta 90.00
_cell_angle_gamma 90.00
_symmetry_space_group_name_H-M 'F -4 3 m'
_symmetry_Int_Tables_number 216
_symmetry_space_group_name_Hall 'F -4 2 3'
loop_
_atom_site_label
_atom_site_fract_x
_atom_site_fract_y
_atom_site_fract_z
_atom_site_occupancy
Zr1 0.0000 0.0000 0.0000 1
Ge1 0.2500 0.2500 0.7500 1
Pb1 0.2500 0.2500 0.2500 1
# Magnetic moment = 0.03 μB per atom


## ii
# ZrGePb, relaxed, DFT PBE
data_ZrGePb
_chemical_formula_sum 'Zr4 Ge4 Pb4'
_cell_length_a 6.7799
_cell_length_b 6.7799
_cell_length_c 6.7799
_cell_angle_alpha 90.00
_cell_angle_beta 90.00
_cell_angle_gamma 90.00
_symmetry_space_group_name_H-M 'F -4 3 m'
_symmetry_Int_Tables_number 216
_symmetry_space_group_name_Hall 'F -4 2 3'
loop_
_atom_site_label
_atom_site_fract_x
_atom_site_fract_y
_atom_site_fract_z
_atom_site_occupancy
Zr1 0.0000 0.0000 0.0000 1
Ge1 0.2500 0.2500 0.7500 1
Pb1 0.0000 0.0000 0.5000 1
# Magnetic moment = 0.00 μB per atom


It is i that is the least stable of them.


## i
An optimized crystal structure of GePd15. Source: the Open Quantum Materials Database, functional PBE.

Geometry as CIF:
```
data_GePd15
_chemical_formula_sum 'Ge4 Pd60'
_cell_length_a 7.9492
_cell_length_b 44.9104
_cell_length_c 3.9250
_cell_angle_alpha 90.00
_cell_angle_beta 90.00
_cell_angle_gamma 90.00
_symmetry_space_group_name_H-M 'P c c m'
_symmetry_Int_Tables_number 49
loop_
_symmetry_equiv_pos_as_xyz
'x,y,z'
'-x,-y,-z'
'-x,-y,z'
'x,y,-z'
'x,-y,-z+1/2'
'-x,y,z+1/2'
'-x,y,-z+1/2'
'x,-y,z+1/2'
loop_
_atom_site_label
_atom_site_fract_x
_atom_site_fract_y
_atom_site_fract_z
_atom_site_occupancy
Ge1 0.1755 0.1740 0.0000 1
Pd1 0.1200 0.2098 0.5000 1
Pd2 0.1210 0.2568 0.0000 1
Pd3 0.1232 0.3021 0.5000 1
Pd4 0.1252 0.3461 0.0000 1
Pd5 0.1253 0.3899 0.5000 1
Pd6 0.1250 0.4339 0.0000 1
Pd7 0.1251 0.4780 0.5000 1
Pd8 0.3697 0.2582 0.5000 1
Pd9 0.3722 0.1676 0.5000 1
Pd10 0.3734 0.3017 0.0000 1
Pd11 0.3752 0.3457 0.5000 1
Pd12 0.3754 0.3898 0.0000 1
Pd13 0.3750 0.4339 0.5000 1
Pd14 0.3750 0.4780 0.0000 1
Pd15 0.3800 0.2144 0.0000 1
```


## ii
An optimized crystal structure of GePd15. Source: the Open Quantum Materials Database, functional PBE.

Geometry as CIF:
```
data_GePd15
_chemical_formula_sum 'Ge2 Pd30'
_cell_length_a 7.8657
_cell_length_b 2.8038
_cell_length_c 36.2028
_cell_angle_alpha 90.00
_cell_angle_beta 90.02
_cell_angle_gamma 90.00
_symmetry_space_group_name_H-M 'P 1 21/m 1'
_symmetry_Int_Tables_number 11
loop_
_symmetry_equiv_pos_as_xyz
'x,y,z'
'-x,-y,-z'
'-x,y+1/2,-z'
'x,-y+1/2,z'
loop_
_atom_site_label
_atom_site_fract_x
_atom_site_fract_y
_atom_site_fract_z
_atom_site_occupancy
Ge1 0.1251 0.2500 0.2814 1
Pd1 0.1162 0.2500 0.7442 1
Pd2 0.1240 0.2500 0.8253 1
Pd3 0.1255 0.2500 0.0575 1
Pd4 0.1250 0.2500 0.1348 1
Pd5 0.1248 0.2500 0.2121 1
Pd6 0.1251 0.2500 0.9032 1
Pd7 0.1259 0.2500 0.9806 1
Pd8 0.3662 0.7500 0.2557 1
Pd9 0.3740 0.7500 0.1747 1
Pd10 0.3750 0.7500 0.0969 1
Pd11 0.3751 0.7500 0.7117 1
Pd12 0.3749 0.7500 0.7866 1
Pd13 0.3749 0.7500 0.8637 1
Pd14 0.3755 0.7500 0.9414 1
Pd15 0.3759 0.7500 0.0192 1
```


It is ii that is the least stable of them.